(1)
# CaNdRh2

A geometry-optimized CaNdRh2 structure (PBE, Alexandria via LeMat-Bulk). Values from VASP.

Cell and atoms, written as Quantum ESPRESSO input:
```
&SYSTEM
  ibrav = 0, nat = 4, ntyp = 3
/
ATOMIC_SPECIES
Rh 102.91 Rh.upf
Ca 40.08 Ca.upf
Nd 144.24 Nd.upf
CELL_PARAMETERS angstrom
4.922 0.001 -0.001
2.461 4.242 0.411
2.462 1.027 4.136
ATOMIC_POSITIONS crystal
Rh 0.000 0.000 0.000
Rh 0.500 0.500 0.500
Ca 0.750 0.750 0.750
Nd 0.250 0.250 0.250
```

Calculated values
- energy of formation (eV per atom) = -0.514
- DOS(E_F) (states/eV/atom) = 0.451
- raw total energy (eV for the cell shown) = -23.53

=====

(2)
# La5Mg4Hg

A geometry-optimized La5Mg4Hg structure (PBE, Alexandria via LeMat-Bulk). Values from VASP.

Cell and atoms, written as Quantum ESPRESSO input:
```
&SYSTEM
  ibrav = 0, nat = 10, ntyp = 3
/
ATOMIC_SPECIES
La 138.91 La.upf
Mg 24.30 Mg.upf
Hg 200.59 Hg.upf
CELL_PARAMETERS angstrom
-2.456 3.012 0.769
-3.060 -2.171 -1.271
-2.704 -6.859 18.222
ATOMIC_POSITIONS crystal
La 0.500 0.500 0.098
La 0.500 0.500 0.298
La 0.500 0.500 0.500
La 0.500 0.500 0.702
La 0.500 0.500 0.902
Mg 0.000 0.000 0.200
Mg 0.000 0.000 0.399
Mg 0.000 0.000 0.601
Mg 0.000 0.000 0.800
Hg 0.000 0.000 0.000
```

Calculated values
- energy of formation (eV per atom) = -0.190
- DOS(E_F) (states/eV/atom) = 1.283
- raw total energy (eV for the cell shown) = -33.22